# SmV3O9, optimized geometry, DFT PBE with a Hubbard U
data_SmV3O9
_space_group_name_H-M_alt 'P 1'
_space_group_IT_number 1
_space_group_name_Hall 'P 1'
_cell_length_a 7.501
_cell_length_b 7.501
_cell_length_c 7.713
_cell_angle_alpha 90.00
_cell_angle_beta 90.00
_cell_angle_gamma 106.19
loop_
_atom_site_label
_atom_site_type_symbol
_atom_site_fract_x
_atom_site_fract_y
_atom_site_fract_z
O1 O 0.018 0.241 0.069
V1 V 0.849 0.208 0.531
O2 O 0.933 0.679 0.968
V2 V 0.247 0.247 0.000
O3 O 0.759 0.982 0.431
O4 O 0.670 0.307 0.987
O5 O 0.620 0.658 0.676
V3 V 0.208 0.849 0.469
V4 V 0.753 0.753 0.500
V5 V 0.792 0.151 0.969
O6 O 0.138 0.862 0.250
Sm1 Sm 0.605 0.605 0.000
O7 O 0.342 0.380 0.824
O8 O 0.380 0.342 0.176
O9 O 0.321 0.067 0.532
O10 O 0.693 0.330 0.513
O11 O 0.658 0.620 0.324
Sm2 Sm 0.395 0.395 0.500
O12 O 0.330 0.693 0.487
O13 O 0.679 0.933 0.032
O14 O 0.241 0.018 0.931
O15 O 0.982 0.759 0.569
O16 O 0.067 0.321 0.468
O17 O 0.307 0.670 0.013
V6 V 0.151 0.792 0.031
O18 O 0.862 0.138 0.750
# Spin magnetization   0.00 μB per formula unit
# Density of states at the Fermi level   0.000 states/eV/f.u.
# Energy   -7.696 eV/atom